No. 1
# PBE Ca2InReO8, relaxed
# Magnetization, μB per cell: 0.0
# Energy relative to the elements, uncorrected, kJ/mol of formula units: -2062
data_Ca2InReO8
_chemical_formula_sum 'Ca2 In1 Re1 O8'
_cell_length_a 4.4974
_cell_length_b 5.2827
_cell_length_c 6.5156
_cell_angle_alpha 93.03
_cell_angle_beta 100.89
_cell_angle_gamma 90.95
_symmetry_space_group_name_H-M 'P -1'
_symmetry_Int_Tables_number 2
loop_
_symmetry_equiv_pos_as_xyz
'x,y,z'
'-x,-y,-z'
loop_
_atom_site_label
_atom_site_fract_x
_atom_site_fract_y
_atom_site_fract_z
Ca1 0.0793 0.0147 0.2765
In1 0.5000 0.5000 0.0000
Re1 0.5000 0.5000 0.5000
O1 0.2195 0.4316 0.2199
O2 0.2632 0.3146 0.6474
O3 0.3007 0.7941 0.5566
O4 0.3663 0.9160 0.0024

No. 2
# PBE CaIn2ReO8, relaxed
# Density of states at the Fermi level, states/eV per cell: 2.01
# Magnetization, μB per cell: 1.1
# Energy relative to the elements, uncorrected, kJ/mol of formula units: -1894
data_CaIn2ReO8
_chemical_formula_sum 'Ca1 In2 Re1 O8'
_cell_length_a 4.7104
_cell_length_b 6.7095
_cell_length_c 5.0246
_cell_angle_alpha 90.00
_cell_angle_beta 90.71
_cell_angle_gamma 90.00
_symmetry_space_group_name_H-M 'P 1 2/m 1'
_symmetry_Int_Tables_number 10
loop_
_symmetry_equiv_pos_as_xyz
'x,y,z'
'-x,-y,-z'
'-x,y,-z'
'x,-y,z'
loop_
_atom_site_label
_atom_site_fract_x
_atom_site_fract_y
_atom_site_fract_z
Ca1 0.0000 0.0000 0.0000
In1 0.5000 0.2592 0.5000
Re1 0.0000 0.5000 0.0000
O1 0.2164 0.2969 0.8442
O2 0.2504 0.0000 0.3940
O3 0.2577 0.5000 0.3077

No. 3
# PBE Ca2InReO6, relaxed
# Density of states at the Fermi level, states/eV per cell: 1.98
# Magnetization, μB per cell: 1.7
# Energy relative to the elements, uncorrected, kJ/mol of formula units: -1890
data_Ca2InReO6
_chemical_formula_sum 'Ca2 In1 Re1 O6'
_cell_length_a 5.4936
_cell_length_b 5.4936
_cell_length_c 5.0184
_cell_angle_alpha 90.00
_cell_angle_beta 90.00
_cell_angle_gamma 90.00
_symmetry_space_group_name_H-M 'P 4 m m'
_symmetry_Int_Tables_number 99
loop_
_symmetry_equiv_pos_as_xyz
'x,y,z'
'-y,x,z'
'-x,-y,z'
'y,-x,z'
'-x,y,z'
'y,x,z'
'x,-y,z'
'-y,-x,z'
loop_
_atom_site_label
_atom_site_fract_x
_atom_site_fract_y
_atom_site_fract_z
Ca1 0.0000 0.5000 0.0000
In1 0.0000 0.0000 0.5704
Re1 0.5000 0.5000 0.6029
O1 0.0000 0.0000 0.1608
O2 0.2646 0.2646 0.7314
O3 0.5000 0.5000 0.2405

No. 4
# PBE CaInReO6, relaxed
# Density of states at the Fermi level, states/eV per cell: 0.00
# Magnetization, μB per cell: 0.0
# Energy relative to the elements, uncorrected, kJ/mol of formula units: -1623
data_CaInReO6
_chemical_formula_sum 'Ca1 In1 Re1 O6'
_cell_length_a 5.4244
_cell_length_b 5.4244
_cell_length_c 4.9551
_cell_angle_alpha 90.00
_cell_angle_beta 90.00
_cell_angle_gamma 120.00
_symmetry_space_group_name_H-M 'P 3 1 2'
_symmetry_Int_Tables_number 149
loop_
_symmetry_equiv_pos_as_xyz
'x,y,z'
'-y,x-y,z'
'-x+y,-x,z'
'-y,-x,-z'
'-x+y,y,-z'
'x,x-y,-z'
loop_
_atom_site_label
_atom_site_fract_x
_atom_site_fract_y
_atom_site_fract_z
Ca1 0.0000 0.0000 0.0000
In1 0.3333 0.6667 0.5000
Re1 0.6667 0.3333 0.5000
O1 0.3852 0.0372 0.7195

No. 5
# PBE Ca2InRuO8, relaxed
# Density of states at the Fermi level, states/eV per cell: 3.31
# Magnetization, μB per cell: 1.0
# Energy relative to the elements, uncorrected, kJ/mol of formula units: -1648
data_Ca2InRuO8
_chemical_formula_sum 'Ca2 In1 Ru1 O8'
_cell_length_a 4.6602
_cell_length_b 6.9661
_cell_length_c 5.0573
_cell_angle_alpha 90.00
_cell_angle_beta 91.33
_cell_angle_gamma 90.00
_symmetry_space_group_name_H-M 'P 1 2/m 1'
_symmetry_Int_Tables_number 10
loop_
_symmetry_equiv_pos_as_xyz
'x,y,z'
'-x,-y,-z'
'-x,y,-z'
'x,-y,z'
loop_
_atom_site_label
_atom_site_fract_x
_atom_site_fract_y
_atom_site_fract_z
Ca1 0.0000 0.2408 0.0000
In1 0.5000 0.0000 0.5000
Ru1 0.5000 0.5000 0.5000
O1 0.0864 0.5000 0.3848
O2 0.1655 0.0000 0.2469
O3 0.4059 0.3049 0.7390

No. 6
# PBE CaIn2RuO8, relaxed
# Density of states at the Fermi level, states/eV per cell: 5.21
# Magnetization, μB per cell: 1.1
# Energy relative to the elements, uncorrected, kJ/mol of formula units: -1455
data_CaIn2RuO8
_chemical_formula_sum 'Ca1 In2 Ru1 O8'
_cell_length_a 4.7181
_cell_length_b 6.6747
_cell_length_c 5.0141
_cell_angle_alpha 90.00
_cell_angle_beta 91.25
_cell_angle_gamma 90.00
_symmetry_space_group_name_H-M 'P 1 2/m 1'
_symmetry_Int_Tables_number 10
loop_
_symmetry_equiv_pos_as_xyz
'x,y,z'
'-x,-y,-z'
'-x,y,-z'
'x,-y,z'
loop_
_atom_site_label
_atom_site_fract_x
_atom_site_fract_y
_atom_site_fract_z
Ca1 0.0000 0.0000 0.0000
In1 0.5000 0.2547 0.5000
Ru1 0.0000 0.5000 0.0000
O1 0.2245 0.2975 0.8527
O2 0.2476 0.0000 0.3926
O3 0.2516 0.5000 0.3193

No. 7
# PBE CaIn2SbO6, relaxed
# Density of states at the Fermi level, states/eV per cell: 9.46
# Magnetization, μB per cell: 0.0
# Energy relative to the elements, uncorrected, kJ/mol of formula units: -1698
data_CaIn2SbO6
_chemical_formula_sum 'Ca3 In6 Sb3 O18'
_cell_length_a 5.6772
_cell_length_b 5.6772
_cell_length_c 14.9569
_cell_angle_alpha 90.00
_cell_angle_beta 90.00
_cell_angle_gamma 120.00
_symmetry_space_group_name_H-M 'R 3'
_symmetry_Int_Tables_number 146
_symmetry_space_group_name_Hall 'R 3'
loop_
_atom_site_label
_atom_site_fract_x
_atom_site_fract_y
_atom_site_fract_z
Ca1 0.0000 0.0000 0.0000
In1 0.0000 0.0000 0.2753
In2 0.0000 0.0000 0.7831
Sb1 0.0000 0.0000 0.4861
O1 0.0224 0.7344 0.3909
O2 0.0267 0.3559 0.5482

No. 8
# PBE Ca2ScInO5, relaxed
# Density of states at the Fermi level, states/eV per cell: 0.00
# Magnetization, μB per cell: 0.0
# Energy relative to the elements, uncorrected, kJ/mol of formula units: -2312
data_Ca2ScInO5
_chemical_formula_sum 'Ca8 Sc4 In4 O20'
_cell_length_a 3.3986
_cell_length_b 13.1240
_cell_length_c 11.3380
_cell_angle_alpha 90.00
_cell_angle_beta 90.00
_cell_angle_gamma 90.00
_symmetry_space_group_name_H-M 'C m c 21'
_symmetry_Int_Tables_number 36
loop_
_symmetry_equiv_pos_as_xyz
'x,y,z'
'-x,-y,z+1/2'
'-x,y,z'
'x,-y,z+1/2'
'x+1/2,y+1/2,z'
'-x+1/2,-y+1/2,z+1/2'
'-x+1/2,y+1/2,z'
'x+1/2,-y+1/2,z+1/2'
loop_
_atom_site_label
_atom_site_fract_x
_atom_site_fract_y
_atom_site_fract_z
Ca1 0.0000 0.0827 0.0000
Ca2 0.0000 0.1529 0.5956
Sc1 0.0000 0.4625 0.7813
In1 0.0000 0.2384 0.3463
O1 0.0000 0.0707 0.3727
O2 0.0000 0.2616 0.9872
O3 0.0000 0.2930 0.7273
O4 0.0000 0.3981 0.3583
O5 0.0000 0.4868 0.1146